No. 1
The following is a DFT calculation (GGA-PBE) of CuMo3C2 after structural relaxation.

Cell lengths 3.047, 3.047, 18.234 Å; angles 90.00, 90.00, 120.00 degrees
Fractional positions:
C 0.333 0.667 0.073
C 0.333 0.667 0.427
C 0.667 0.333 0.573
C 0.667 0.333 0.927
Cu 0.000 0.000 0.250
Cu 0.000 0.000 0.750
Mo 0.000 0.000 0.000
Mo 0.667 0.333 0.134
Mo 0.667 0.333 0.366
Mo 0.000 0.000 0.500
Mo 0.333 0.667 0.634
Mo 0.333 0.667 0.866

Computed properties:
* space-group type: P6_3/mmc
* total DFT energy (no corrections): -8.95 eV per atom
* magnetic moment: 0.000 Bohr magnetons per cell
* mass density: 8.50 Mg/m³

***

No. 2
The following is a DFT calculation (GGA-PBE) of CuMo3CN after structural relaxation.

Cell lengths 3.057, 3.057, 18.029 Å; angles 90.00, 90.00, 120.00 degrees
Fractional positions:
C 0.333 0.667 0.073
C 0.667 0.333 0.927
Cu 0.000 0.000 0.253
Cu 0.000 0.000 0.747
Mo 0.000 0.000 0.000
Mo 0.667 0.333 0.135
Mo 0.667 0.333 0.368
Mo 0.000 0.000 0.500
Mo 0.333 0.667 0.632
Mo 0.333 0.667 0.865
N 0.333 0.667 0.429
N 0.667 0.333 0.571

Computed properties:
* space-group type: P-3m1
* total DFT energy (no corrections): -8.82 eV per atom
* magnetic moment: 0.037 Bohr magnetons per cell
* mass density: 8.59 Mg/m³

***

No. 3
The following is a DFT calculation (GGA-PBE) of Cu2Mo8C3N3 after structural relaxation.

Cell lengths 3.076, 3.076, 22.931 Å; angles 90.00, 90.00, 120.00 degrees
Fractional positions:
C 0.000 0.000 0.000
C 0.667 0.333 0.114
C 0.333 0.667 0.886
Cu 0.333 0.667 0.251
Cu 0.667 0.333 0.749
Mo 0.333 0.667 0.058
Mo 0.000 0.000 0.158
Mo 0.000 0.000 0.341
Mo 0.333 0.667 0.448
Mo 0.667 0.333 0.552
Mo 0.000 0.000 0.659
Mo 0.000 0.000 0.842
Mo 0.667 0.333 0.942
N 0.667 0.333 0.390
N 0.000 0.000 0.500
N 0.333 0.667 0.610

Computed properties:
* space-group type: P-3m1
* total DFT energy (no corrections): -9.05 eV per atom
* magnetic moment: 0.005 Bohr magnetons per cell
* mass density: 8.60 Mg/m³

***

> The lowest magnetic moment belongs to which entry?

CuMo3C2

***

> Among the records above, which one has the lowest total DFT energy (no corrections)?

Cu2Mo8C3N3